[1]
# ZnMoO4

A geometry-optimized ZnMoO4 structure (GGA+U, the Alexandria database).

a = 7.078 Å, b = 8.493 Å, c = 9.903 Å
α = 97.05°, β = 106.84°, γ = 101.83°
Space group P-1 (No. 2)
Asymmetric unit:
Zn (0.032, 0.116, 0.287) x2
Zn (0.252, 0.693, 0.910) x2
Zn (0.466, 0.301, 0.515) x2
Mo (0.021, 0.292, 0.626) x2
Mo (0.301, 0.398, 0.161) x2
Mo (0.495, 0.014, 0.244) x2
O (0.022, 0.121, 0.716) x2
O (0.049, 0.268, 0.144) x2
O (0.143, 0.268, 0.486) x2
O (0.148, 0.478, 0.753) x2
O (0.237, 0.709, 0.461) x2
O (0.256, 0.560, 0.072) x2
O (0.264, 0.866, 0.766) x2
O (0.339, 0.903, 0.073) x2
O (0.351, 0.141, 0.319) x2
O (0.444, 0.290, 0.080) x2
O (0.446, 0.482, 0.350) x2
O (0.447, 0.128, 0.645) x2

electronic total energy	-224.77	eV for the cell shown



[2]
# ZnMoO3

A geometry-optimized ZnMoO3 structure (GGA+U, the Alexandria database).

a = 5.333 Å, b = 7.970 Å, c = 5.312 Å
α = 90.00°, β = 90.00°, γ = 90.00°
Space group Pnma (No. 62)
Asymmetric unit:
Zn (0.019, 0.250, 0.019) x4
Mo (0.000, 0.000, 0.500) x4
O (0.101, 0.750, 0.616) x4
O (0.175, 0.568, 0.163) x8

electronic total energy	-123.57	eV for the cell shown



[3]
# ZnMo2O6

A geometry-optimized ZnMo2O6 structure (GGA+U, the Alexandria database).

a = 5.323 Å, b = 5.528 Å, c = 9.249 Å
α = 90.00°, β = 124.16°, γ = 90.00°
Space group Pc (No. 7)
Asymmetric unit:
Zn (0.000, 0.198, 0.000) x2
Mo (0.252, 0.242, 0.751) x2
Mo (0.739, 0.275, 0.251) x2
O (0.006, 0.069, 0.199) x2
O (0.074, 0.270, 0.510) x2
O (0.365, 0.228, 0.002) x2
O (0.493, 0.465, 0.304) x2
O (0.618, 0.050, 0.809) x2
O (0.899, 0.456, 0.716) x2

electronic total energy	-117.18	eV for the cell shown



[4]
# ZnMoO3

A geometry-optimized ZnMoO3 structure (GGA+U, the Alexandria database).

a = 3.797 Å, b = 3.797 Å, c = 3.797 Å
α = 90.00°, β = 90.00°, γ = 90.00°
Space group Pm-3m (No. 221)
Asymmetric unit:
Zn (0.000, 0.000, 0.000) x1
Mo (0.500, 0.500, 0.500) x1
O (0.000, 0.000, 0.500) x3

electronic total energy	-24.77	eV for the cell shown



[5]
# ZnMo2O5

A geometry-optimized ZnMo2O5 structure (GGA+U, the Alexandria database).

a = 3.855 Å, b = 10.453 Å, c = 12.115 Å
α = 90.00°, β = 90.00°, γ = 90.00°
Space group Cmcm (No. 63)
Asymmetric unit:
Zn (0.000, 0.096, 0.250) x4
Mo (0.000, 0.202, 0.599) x8
O (0.000, 0.031, 0.631) x8
O (0.000, 0.233, 0.075) x8
O (0.000, 0.301, 0.750) x4

energy relative to the lowest polymorph listed for this composition	0	meV/atom



[6]
# ZnMoO4

A geometry-optimized ZnMoO4 structure (GGA+U, the Alexandria database).

a = 4.739 Å, b = 5.826 Å, c = 4.980 Å
α = 90.00°, β = 90.68°, γ = 90.00°
Space group P2/c (No. 13)
Asymmetric unit:
Zn (0.000, 0.185, 0.250) x2
Mo (0.500, 0.316, 0.750) x2
O (0.244, 0.125, 0.597) x4
O (0.283, 0.394, 0.063) x4

electronic total energy	-74.70	eV for the cell shown



[7]
# ZnMoO4

A geometry-optimized ZnMoO4 structure (GGA+U, the Alexandria database).

a = 5.627 Å, b = 4.748 Å, c = 5.658 Å
α = 90.00°, β = 112.81°, γ = 90.00°
Space group P2_1/c (No. 14)
Asymmetric unit:
Zn (0.000, 0.000, 0.000) x2
Mo (0.500, 0.000, 0.500) x2
O (0.183, 0.190, 0.384) x4
O (0.364, 0.717, 0.682) x4

electronic total energy	-73.58	eV for the cell shown



[8]
# Zn6MoO6

A geometry-optimized Zn6MoO6 structure (GGA+U, the Alexandria database).

a = 5.747 Å, b = 5.747 Å, c = 5.747 Å
α = 90.00°, β = 90.00°, γ = 90.00°
Space group Pm-3 (No. 200)
Asymmetric unit:
Zn (0.000, 0.251, 0.500) x6
Mo (0.000, 0.000, 0.000) x1
O (0.000, 0.500, 0.251) x6

electronic total energy	-57.35	eV for the cell shown



V (A^3/atom)
15.20; 11.29; 12.51; 10.95; 15.26; 11.46; 11.61; 14.60